# 1
A plane-wave DFT calculation with PBE was carried out for a relaxed structure of BaAc2ZnO5.

Geometry as CIF:
```
data_BaAc2ZnO5
_chemical_formula_sum 'Ba2 Ac4 Zn2 O10'
_symmetry_space_group_name_H-M 'P 1'
_symmetry_Int_Tables_number 1
_symmetry_space_group_name_Hall 'P 1'
_cell_length_a 7.784
_cell_length_b 7.784
_cell_length_c 7.784
_cell_angle_alpha 125.17
_cell_angle_beta 125.17
_cell_angle_gamma 81.26
loop_
_atom_site_label
_atom_site_type_symbol
_atom_site_fract_x
_atom_site_fract_y
_atom_site_fract_z
_atom_site_occupancy
Ba1 Ba 0.250 0.250 0.000 1
Ba2 Ba 0.750 0.750 0.000 1
Ac1 Ac 0.175 0.675 0.849 1
Ac2 Ac 0.325 0.175 0.500 1
Ac3 Ac 0.675 0.825 0.500 1
Ac4 Ac 0.825 0.325 0.151 1
Zn1 Zn 0.250 0.750 0.500 1
Zn2 Zn 0.750 0.250 0.500 1
O1 O 0.000 0.000 0.000 1
O2 O 0.009 0.221 0.500 1
O3 O 0.221 0.721 0.212 1
O4 O 0.279 0.491 0.500 1
O5 O 0.491 0.991 0.212 1
O6 O 0.500 0.500 0.000 1
O7 O 0.509 0.009 0.788 1
O8 O 0.721 0.509 0.500 1
O9 O 0.779 0.279 0.788 1
O10 O 0.991 0.779 0.500 1
```

Properties
Electronic total energy (eV per cell): -121.59
Symmetry: I4/mcm

# 2
A plane-wave DFT calculation with PBE was carried out for a relaxed structure of BaAcZnO4.

Geometry as CIF:
```
data_BaAcZnO4
_chemical_formula_sum 'Ba2 Ac2 Zn2 O8'
_symmetry_space_group_name_H-M 'P 1'
_symmetry_Int_Tables_number 1
_symmetry_space_group_name_Hall 'P 1'
_cell_length_a 7.389
_cell_length_b 7.389
_cell_length_c 5.642
_cell_angle_alpha 90.00
_cell_angle_beta 90.00
_cell_angle_gamma 135.24
loop_
_atom_site_label
_atom_site_type_symbol
_atom_site_fract_x
_atom_site_fract_y
_atom_site_fract_z
_atom_site_occupancy
Ba1 Ba 0.105 0.895 0.750 1
Ba2 Ba 0.895 0.105 0.250 1
Ac1 Ac 0.386 0.614 0.750 1
Ac2 Ac 0.614 0.386 0.250 1
Zn1 Zn 0.243 0.757 0.250 1
Zn2 Zn 0.757 0.243 0.750 1
O1 O 0.000 0.500 0.000 1
O2 O 0.000 0.500 0.500 1
O3 O 0.089 0.911 0.250 1
O4 O 0.434 0.566 0.250 1
O5 O 0.500 0.000 0.000 1
O6 O 0.500 0.000 0.500 1
O7 O 0.566 0.434 0.750 1
O8 O 0.911 0.089 0.750 1
```

Properties
Electronic total energy (eV per cell): -86.08
Symmetry: Cmcm

# 3
A plane-wave DFT calculation with PBE was carried out for a relaxed structure of Ba2AcZn2O6.

Geometry as CIF:
```
data_Ba2AcZn2O6
_chemical_formula_sum 'Ba2 Ac1 Zn2 O6'
_symmetry_space_group_name_H-M 'P 1'
_symmetry_Int_Tables_number 1
_symmetry_space_group_name_Hall 'P 1'
_cell_length_a 7.278
_cell_length_b 7.278
_cell_length_c 7.278
_cell_angle_alpha 50.66
_cell_angle_beta 50.66
_cell_angle_gamma 50.66
loop_
_atom_site_label
_atom_site_type_symbol
_atom_site_fract_x
_atom_site_fract_y
_atom_site_fract_z
_atom_site_occupancy
Ba1 Ba 0.203 0.203 0.203 1
Ba2 Ba 0.797 0.797 0.797 1
Ac1 Ac 0.000 0.000 0.000 1
Zn1 Zn 0.426 0.426 0.426 1
Zn2 Zn 0.574 0.574 0.574 1
O1 O 0.227 0.748 0.748 1
O2 O 0.252 0.252 0.773 1
O3 O 0.252 0.773 0.252 1
O4 O 0.748 0.227 0.748 1
O5 O 0.748 0.748 0.227 1
O6 O 0.773 0.252 0.252 1
```

Properties
Electronic total energy (eV per cell): -63.12
Symmetry: R-3m

# 4
A plane-wave DFT calculation with PBE was carried out for a relaxed structure of BaAc2ZrO6.

Geometry as CIF:
```
data_BaAc2ZrO6
_chemical_formula_sum 'Ba1 Ac2 Zr1 O6'
_symmetry_space_group_name_H-M 'P 1'
_symmetry_Int_Tables_number 1
_symmetry_space_group_name_Hall 'P 1'
_cell_length_a 5.787
_cell_length_b 5.787
_cell_length_c 5.973
_cell_angle_alpha 90.00
_cell_angle_beta 90.00
_cell_angle_gamma 90.00
loop_
_atom_site_label
_atom_site_type_symbol
_atom_site_fract_x
_atom_site_fract_y
_atom_site_fract_z
_atom_site_occupancy
Ba1 Ba 0.000 0.000 0.000 1
Ac1 Ac 0.000 0.500 0.451 1
Ac2 Ac 0.500 0.000 0.451 1
Zr1 Zr 0.500 0.500 0.075 1
O1 O 0.000 0.000 0.579 1
O2 O 0.270 0.270 0.219 1
O3 O 0.270 0.730 0.219 1
O4 O 0.500 0.500 0.737 1
O5 O 0.730 0.270 0.219 1
O6 O 0.730 0.730 0.219 1
```

Properties
Electronic total energy (eV per cell): -78.91
Symmetry: P4mm

# 5
A plane-wave DFT calculation with PBE was carried out for a relaxed structure of Ba2AcZrO6.

Geometry as CIF:
```
data_Ba2AcZrO6
_chemical_formula_sum 'Ba2 Ac1 Zr1 O6'
_symmetry_space_group_name_H-M 'P 1'
_symmetry_Int_Tables_number 1
_symmetry_space_group_name_Hall 'P 1'
_cell_length_a 6.357
_cell_length_b 6.357
_cell_length_c 6.357
_cell_angle_alpha 60.00
_cell_angle_beta 60.00
_cell_angle_gamma 60.00
loop_
_atom_site_label
_atom_site_type_symbol
_atom_site_fract_x
_atom_site_fract_y
_atom_site_fract_z
_atom_site_occupancy
Ba1 Ba 0.250 0.250 0.250 1
Ba2 Ba 0.750 0.750 0.750 1
Ac1 Ac 0.000 0.000 0.000 1
Zr1 Zr 0.500 0.500 0.500 1
O1 O 0.266 0.266 0.734 1
O2 O 0.266 0.734 0.266 1
O3 O 0.266 0.734 0.734 1
O4 O 0.734 0.266 0.266 1
O5 O 0.734 0.266 0.734 1
O6 O 0.734 0.734 0.266 1
```

Properties
Electronic total energy (eV per cell): -74.44
Symmetry: Fm-3m

# 6
A plane-wave DFT calculation with PBE was carried out for a relaxed structure of Ba3Ac3ZrO8.

Geometry as CIF:
```
data_Ba3Ac3ZrO8
_chemical_formula_sum 'Ba3 Ac3 Zr1 O8'
_symmetry_space_group_name_H-M 'P 1'
_symmetry_Int_Tables_number 1
_symmetry_space_group_name_Hall 'P 1'
_cell_length_a 7.498
_cell_length_b 7.498
_cell_length_c 7.726
_cell_angle_alpha 119.02
_cell_angle_beta 119.02
_cell_angle_gamma 60.05
loop_
_atom_site_label
_atom_site_type_symbol
_atom_site_fract_x
_atom_site_fract_y
_atom_site_fract_z
_atom_site_occupancy
Ba1 Ba 0.000 0.000 0.000 1
Ba2 Ba 0.000 0.500 0.000 1
Ba3 Ba 0.500 0.000 0.000 1
Ac1 Ac 0.000 0.500 0.500 1
Ac2 Ac 0.500 0.000 0.500 1
Ac3 Ac 0.500 0.500 0.500 1
Zr1 Zr 0.000 0.000 0.500 1
O1 O 0.202 0.776 0.681 1
O2 O 0.203 0.203 0.681 1
O3 O 0.224 0.798 0.319 1
O4 O 0.262 0.262 0.286 1
O5 O 0.738 0.738 0.714 1
O6 O 0.776 0.202 0.681 1
O7 O 0.797 0.797 0.319 1
O8 O 0.798 0.224 0.319 1
```

Properties
Electronic total energy (eV per cell): -107.22
Symmetry: C2/m

# 7
A plane-wave DFT calculation with PBE was carried out for a relaxed structure of BaAc8Os2.

Geometry as CIF:
```
data_BaAc8Os2
_chemical_formula_sum 'Ba1 Ac8 Os2'
_symmetry_space_group_name_H-M 'P 1'
_symmetry_Int_Tables_number 1
_symmetry_space_group_name_Hall 'P 1'
_cell_length_a 9.513
_cell_length_b 9.513
_cell_length_c 6.878
_cell_angle_alpha 95.09
_cell_angle_beta 95.09
_cell_angle_gamma 47.85
loop_
_atom_site_label
_atom_site_type_symbol
_atom_site_fract_x
_atom_site_fract_y
_atom_site_fract_z
_atom_site_occupancy
Ba1 Ba 0.000 0.000 0.000 1
Ac1 Ac 0.106 0.612 0.601 1
Ac2 Ac 0.214 0.214 0.905 1
Ac3 Ac 0.388 0.894 0.399 1
Ac4 Ac 0.418 0.418 0.163 1
Ac5 Ac 0.582 0.582 0.837 1
Ac6 Ac 0.612 0.106 0.601 1
Ac7 Ac 0.786 0.786 0.095 1
Ac8 Ac 0.894 0.388 0.399 1
Os1 Os 0.271 0.271 0.336 1
Os2 Os 0.729 0.729 0.664 1
```

Properties
DFT formation energy (meV/atom): 46
Electronic total energy (eV per cell): -56.74
Symmetry: C2/m

# 8
A plane-wave DFT calculation with PBE was carried out for a relaxed structure of BaAcP2.

Geometry as CIF:
```
data_BaAcP2
_chemical_formula_sum 'Ba3 Ac3 P6'
_symmetry_space_group_name_H-M 'P 1'
_symmetry_Int_Tables_number 1
_symmetry_space_group_name_Hall 'P 1'
_cell_length_a 4.453
_cell_length_b 4.453
_cell_length_c 23.358
_cell_angle_alpha 90.00
_cell_angle_beta 90.00
_cell_angle_gamma 120.00
loop_
_atom_site_label
_atom_site_type_symbol
_atom_site_fract_x
_atom_site_fract_y
_atom_site_fract_z
_atom_site_occupancy
Ba1 Ba 0.000 0.000 0.000 1
Ba2 Ba 0.333 0.667 0.667 1
Ba3 Ba 0.667 0.333 0.333 1
Ac1 Ac 0.000 0.000 0.828 1
Ac2 Ac 0.333 0.667 0.495 1
Ac3 Ac 0.667 0.333 0.162 1
P1 P 0.000 0.000 0.239 1
P2 P 0.000 0.000 0.421 1
P3 P 0.333 0.667 0.088 1
P4 P 0.333 0.667 0.906 1
P5 P 0.667 0.333 0.572 1
P6 P 0.667 0.333 0.754 1
```

Properties
DFT formation energy (meV/atom): -979
Electronic total energy (eV per cell): -62.30
Distance to the lowest polymorph of the same formula (meV per atom): 73
Symmetry: R3m

# 9
A plane-wave DFT calculation with PBE was carried out for a relaxed structure of BaAcP2.

Geometry as CIF:
```
data_BaAcP2
_chemical_formula_sum 'Ba3 Ac3 P6'
_symmetry_space_group_name_H-M 'P 1'
_symmetry_Int_Tables_number 1
_symmetry_space_group_name_Hall 'P 1'
_cell_length_a 4.533
_cell_length_b 4.533
_cell_length_c 22.469
_cell_angle_alpha 90.00
_cell_angle_beta 90.00
_cell_angle_gamma 120.00
loop_
_atom_site_label
_atom_site_type_symbol
_atom_site_fract_x
_atom_site_fract_y
_atom_site_fract_z
_atom_site_occupancy
Ba1 Ba 0.000 0.000 0.000 1
Ba2 Ba 0.333 0.667 0.667 1
Ba3 Ba 0.667 0.333 0.333 1
Ac1 Ac 0.000 0.000 0.500 1
Ac2 Ac 0.333 0.667 0.167 1
Ac3 Ac 0.667 0.333 0.833 1
P1 P 0.000 0.000 0.243 1
P2 P 0.000 0.000 0.757 1
P3 P 0.333 0.667 0.424 1
P4 P 0.333 0.667 0.909 1
P5 P 0.667 0.333 0.091 1
P6 P 0.667 0.333 0.576 1
```

Properties
DFT formation energy (meV/atom): -1052
Electronic total energy (eV per cell): -63.18
Distance to the lowest polymorph of the same formula (meV per atom): 0
Symmetry: R-3m

# 10
A plane-wave DFT calculation with PBE was carried out for a relaxed structure of BaAc3P.

Geometry as CIF:
```
data_BaAc3P
_chemical_formula_sum 'Ba1 Ac3 P1'
_symmetry_space_group_name_H-M 'P 1'
_symmetry_Int_Tables_number 1
_symmetry_space_group_name_Hall 'P 1'
_cell_length_a 6.066
_cell_length_b 6.066
_cell_length_c 6.066
_cell_angle_alpha 90.00
_cell_angle_beta 90.00
_cell_angle_gamma 90.00
loop_
_atom_site_label
_atom_site_type_symbol
_atom_site_fract_x
_atom_site_fract_y
_atom_site_fract_z
_atom_site_occupancy
Ba1 Ba 0.000 0.000 0.000 1
Ac1 Ac 0.000 0.500 0.500 1
Ac2 Ac 0.500 0.000 0.500 1
Ac3 Ac 0.500 0.500 0.000 1
P1 P 0.500 0.500 0.500 1
```

Properties
DFT formation energy (meV/atom): -420
Electronic total energy (eV per cell): -21.76
Symmetry: Pm-3m

Mass density (computed, g cm⁻³): 8.061; 7.559; 5.692; 6.464; 6.296; 6.990; 8.438; 5.293; 5.311; 6.317